[1]
{"formula": "Sr2BeGeAu6", "functional": "PBE", "state": "relaxed", "lattice_angstrom": [[6.5833, 0.0000, 0.0000], [3.2480, 5.7339, 0.0000], [3.2566, 1.8954, 5.9202]], "species": ["Sr", "Sr", "Be", "Ge", "Au", "Au", "Au", "Au", "Au", "Au"], "fractional_positions": [[0.2220, 0.2210, 0.3361], [0.7780, 0.7790, 0.6639], [0.0000, 0.0000, 0.0000], [0.5000, 0.5000, 0.5000], [0.2379, 0.7009, 0.8209], [0.2387, 0.2395, 0.8212], [0.3013, 0.7595, 0.1767], [0.6987, 0.2405, 0.8233], [0.7613, 0.7605, 0.1788], [0.7621, 0.2991, 0.1791]], "spacegroup": "No. 2", "density_kg_m3": 10690, "ef_ev_per_atom": -0.48}

=====

[2]
{"formula": "Ho2Ge2Ir5", "functional": "PBE", "state": "relaxed", "lattice_angstrom": [[4.1583, 0.0000, 0.0000], [0.0000, 4.1583, 0.0000], [0.0000, 0.0000, 9.0156]], "species": ["Ho", "Ho", "Ge", "Ge", "Ir", "Ir", "Ir", "Ir", "Ir"], "fractional_positions": [[0.0000, 0.0000, 0.0000], [0.0000, 0.0000, 0.5000], [0.5000, 0.5000, 0.1363], [0.5000, 0.5000, 0.8637], [0.0000, 0.5000, 0.2762], [0.0000, 0.5000, 0.7238], [0.5000, 0.0000, 0.2762], [0.5000, 0.0000, 0.7238], [0.5000, 0.5000, 0.5000]], "spacegroup": "No. 123", "density_kg_m3": 15298, "ef_ev_per_atom": -0.62}

=====

[3]
{"formula": "LiHgPb2", "functional": "PBE", "state": "relaxed", "lattice_angstrom": [[3.8100, 0.0000, 0.0000], [0.0000, 3.8100, 0.0000], [0.0000, 0.0000, 7.1504]], "species": ["Li", "Hg", "Pb", "Pb"], "fractional_positions": [[0.0000, 0.0000, 0.0000], [0.0000, 0.0000, 0.5000], [0.5000, 0.5000, 0.2424], [0.5000, 0.5000, 0.7576]], "spacegroup": "No. 123", "density_kg_m3": 9950, "ef_ev_per_atom": -0.08}